[1]
! FeCuPS2, relaxed, DFT PBE; values from VASP
&SYSTEM
  ibrav = 0, nat = 5, ntyp = 4
/
ATOMIC_SPECIES
P 30.97 P.upf
S 32.06 S.upf
Fe 55.84 Fe.upf
Cu 63.55 Cu.upf
CELL_PARAMETERS angstrom
-1.852 3.954 -1.292
-1.109 -1.833 -4.018
-3.700 -1.218 1.577
ATOMIC_POSITIONS crystal
P 0.000 0.000 0.500
S 0.000 0.500 0.000
S 0.500 0.000 0.000
Fe 0.000 0.000 0.000
Cu 0.500 0.500 0.500
! **Relative energy among the computed polymorphs**: 0.00 kcal/mol of atoms
! **Crystal system**: tetragonal
! **VASP energy**: -23.1 eV/cell
! **ΔE_f (raw)**: 3.15 eV per formula unit



[2]
! Ti8Ga2Tc, relaxed, DFT PBE; values from VASP
&SYSTEM
  ibrav = 0, nat = 11, ntyp = 3
/
ATOMIC_SPECIES
Ti 47.87 Ti.upf
Ga 69.72 Ga.upf
Tc 98.00 Tc.upf
CELL_PARAMETERS angstrom
-4.134 -0.002 1.943
-1.877 -4.223 -3.998
4.937 -2.631 5.131
ATOMIC_POSITIONS crystal
Ti 0.362 0.592 0.724
Ti 0.638 0.868 0.276
Ti 0.825 0.825 0.650
Ti 0.000 0.264 0.000
Ti 0.175 0.175 0.350
Ti 0.362 0.132 0.724
Ti 0.638 0.408 0.276
Ti 0.000 0.736 0.000
Ga 0.813 0.312 0.625
Ga 0.187 0.688 0.375
Tc 0.500 0.000 0.000
! **Crystal system**: orthorhombic
! **VASP energy**: -82.5 eV/cell
! **Energy of formation**: -261 meV per atom



[3]
! LiCePuRe, relaxed, DFT PBE; values from VASP
&SYSTEM
  ibrav = 0, nat = 4, ntyp = 4
/
ATOMIC_SPECIES
Re 186.21 Re.upf
Li 6.94 Li.upf
Ce 140.12 Ce.upf
Pu 244.00 Pu.upf
CELL_PARAMETERS angstrom
4.903 0.000 0.000
2.452 4.246 0.000
2.452 1.415 4.004
ATOMIC_POSITIONS crystal
Re 0.500 0.500 0.500
Li 0.000 0.000 0.000
Ce 0.250 0.250 0.250
Pu 0.750 0.750 0.750
! **Crystal system**: cubic
! **VASP energy**: -33.9 eV/cell
! **Energy of formation**: 186 meV per atom



[4]
! DyAlZn2Au4, relaxed, DFT PBE; values from VASP
&SYSTEM
  ibrav = 0, nat = 8, ntyp = 4
/
ATOMIC_SPECIES
Dy 162.50 Dy.upf
Al 26.98 Al.upf
Zn 65.41 Zn.upf
Au 196.97 Au.upf
CELL_PARAMETERS angstrom
4.519 0.000 0.000
2.259 3.913 0.000
2.259 1.304 8.327
ATOMIC_POSITIONS crystal
Dy 0.000 0.000 0.000
Al 0.500 0.500 0.500
Zn 0.749 0.749 0.753
Zn 0.251 0.251 0.247
Au 0.394 0.394 0.818
Au 0.867 0.867 0.398
Au 0.133 0.133 0.602
Au 0.606 0.606 0.182
! **Crystal system**: trigonal
! **VASP energy**: -27.8 eV/cell
! **Energy of formation**: -469 meV per atom



[5]
! SiTc2Pb, relaxed, DFT PBE; values from VASP
&SYSTEM
  ibrav = 0, nat = 8, ntyp = 3
/
ATOMIC_SPECIES
Pb 207.20 Pb.upf
Si 28.09 Si.upf
Tc 98.00 Tc.upf
CELL_PARAMETERS angstrom
4.188 0.000 0.000
0.000 4.188 0.000
2.094 2.094 8.927
ATOMIC_POSITIONS crystal
Pb 0.000 0.000 0.000
Pb 0.750 0.250 0.500
Si 0.500 0.500 0.000
Si 0.250 0.750 0.500
Tc 0.525 0.125 0.250
Tc 0.225 0.625 0.250
Tc 0.375 0.475 0.750
Tc 0.875 0.775 0.750
! **Relative energy among the computed polymorphs**: 9.75 kcal/mol of atoms
! **Crystal system**: tetragonal
! **VASP energy**: -55.0 eV/cell
! **ΔE_f (raw)**: 2.38 eV per formula unit



[6]
! Y2ScAg, relaxed, DFT PBE; values from VASP
&SYSTEM
  ibrav = 0, nat = 4, ntyp = 3
/
ATOMIC_SPECIES
Y 88.91 Y.upf
Sc 44.96 Sc.upf
Ag 107.87 Ag.upf
CELL_PARAMETERS angstrom
0.610 -3.871 3.541
-3.807 -3.602 0.658
0.757 -4.969 -1.623
ATOMIC_POSITIONS crystal
Y 0.250 0.250 0.250
Y 0.750 0.750 0.750
Sc 0.000 0.000 0.000
Ag 0.500 0.500 0.500
! **Relative energy among the computed polymorphs**: 3.42 kcal/mol of atoms
! **Crystal system**: cubic
! **VASP energy**: -22.0 eV/cell
! **Energy of formation**: 28 meV per atom



[7]
! CaNdDyMg, relaxed, DFT PBE; values from VASP
&SYSTEM
  ibrav = 0, nat = 4, ntyp = 4
/
ATOMIC_SPECIES
Ca 40.08 Ca.upf
Nd 144.24 Nd.upf
Dy 162.50 Dy.upf
Mg 24.30 Mg.upf
CELL_PARAMETERS angstrom
3.646 0.000 0.000
0.000 3.646 0.000
0.000 0.000 9.765
ATOMIC_POSITIONS crystal
Ca 0.000 0.000 0.098
Nd 0.500 0.500 0.801
Dy 0.000 0.000 0.551
Mg 0.500 0.500 0.334
! **Relative energy among the computed polymorphs**: 0.00 kcal/mol of atoms
! **Crystal system**: tetragonal
! **VASP energy**: -13.0 eV/cell
! **Energy of formation**: -16 meV per atom



[8]
! Hf2AsS2, relaxed, DFT PBE; values from VASP
&SYSTEM
  ibrav = 0, nat = 10, ntyp = 3
/
ATOMIC_SPECIES
As 74.92 As.upf
Hf 178.49 Hf.upf
S 32.06 S.upf
CELL_PARAMETERS angstrom
7.246 0.000 0.000
0.000 7.246 0.000
0.000 0.000 3.372
ATOMIC_POSITIONS crystal
As 0.000 0.000 0.000
As 0.500 0.500 0.000
Hf 0.346 0.846 0.000
Hf 0.846 0.654 0.000
Hf 0.654 0.154 0.000
Hf 0.154 0.346 0.000
S 0.134 0.634 0.500
S 0.634 0.866 0.500
S 0.866 0.366 0.500
S 0.366 0.134 0.500
! **Crystal system**: tetragonal
! **VASP energy**: -76.3 eV/cell
! **ΔE_f (raw)**: -5.36 eV per formula unit



[9]
! KNa2AlF6, relaxed, DFT PBE; values from VASP
&SYSTEM
  ibrav = 0, nat = 10, ntyp = 4
/
ATOMIC_SPECIES
K 39.10 K.upf
Na 22.99 Na.upf
Al 26.98 Al.upf
F 19.00 F.upf
CELL_PARAMETERS angstrom
-1.833 -4.245 3.891
1.061 0.660 5.912
-4.573 1.140 3.781
ATOMIC_POSITIONS crystal
K 0.500 0.500 0.500
Na 0.250 0.250 0.250
Na 0.750 0.750 0.750
Al 0.000 0.000 0.000
F 0.787 0.213 0.213
F 0.787 0.213 0.787
F 0.213 0.787 0.787
F 0.213 0.213 0.787
F 0.787 0.787 0.213
F 0.213 0.787 0.213
! **Relative energy among the computed polymorphs**: 3.16 kcal/mol of atoms
! **Crystal system**: cubic
! **VASP energy**: -48.7 eV/cell
! **ΔE_f (raw)**: -29.99 eV per formula unit



[10]
! ScCdPb2, relaxed, DFT PBE; values from VASP
&SYSTEM
  ibrav = 0, nat = 4, ntyp = 3
/
ATOMIC_SPECIES
Pb 207.20 Pb.upf
Sc 44.96 Sc.upf
Cd 112.41 Cd.upf
CELL_PARAMETERS angstrom
5.042 0.000 0.000
0.000 3.543 0.043
0.000 1.693 5.960
ATOMIC_POSITIONS crystal
Pb 0.000 0.977 0.927
Pb 0.500 0.270 0.333
Sc 0.000 0.707 0.455
Cd 0.500 0.546 0.785
! **Crystal system**: monoclinic
! **VASP energy**: -15.2 eV/cell
! **Energy of formation**: -125 meV per atom



[11]
! Zr2Ni2Sn, relaxed, DFT PBE; values from VASP
&SYSTEM
  ibrav = 0, nat = 20, ntyp = 3
/
ATOMIC_SPECIES
Zr 91.22 Zr.upf
Ni 58.69 Ni.upf
Sn 118.71 Sn.upf
CELL_PARAMETERS angstrom
-1.376 5.091 4.796
1.329 -4.608 5.274
6.604 1.839 -0.057
ATOMIC_POSITIONS crystal
Zr 0.182 0.182 0.000
Zr 0.682 0.318 0.500
Zr 0.318 0.682 0.500
Zr 0.818 0.818 0.000
Zr 0.655 0.345 0.000
Zr 0.845 0.845 0.500
Zr 0.155 0.155 0.500
Zr 0.345 0.655 0.000
Ni 0.374 0.374 0.283
Ni 0.874 0.126 0.783
Ni 0.126 0.874 0.783
Ni 0.626 0.626 0.283
Ni 0.126 0.874 0.217
Ni 0.874 0.126 0.217
Ni 0.374 0.374 0.717
Ni 0.626 0.626 0.717
Sn 0.500 0.000 0.250
Sn 0.500 0.000 0.750
Sn 0.000 0.500 0.250
Sn 0.000 0.500 0.750
! **Crystal system**: tetragonal
! **VASP energy**: -142.2 eV/cell
! **Energy of formation**: -576 meV per atom



[12]
! Y12SnRh6, relaxed, DFT PBE; values from VASP
&SYSTEM
  ibrav = 0, nat = 19, ntyp = 3
/
ATOMIC_SPECIES
Y 88.91 Y.upf
Sn 118.71 Sn.upf
Rh 102.91 Rh.upf
CELL_PARAMETERS angstrom
8.100 0.000 -2.864
-4.050 7.015 -2.864
0.000 0.000 8.591
ATOMIC_POSITIONS crystal
Y 0.300 0.108 0.808
Y 0.300 0.491 0.192
Y 0.700 0.509 0.808
Y 0.700 0.892 0.192
Y 0.108 0.808 0.300
Y 0.491 0.192 0.300
Y 0.509 0.808 0.700
Y 0.892 0.192 0.700
Y 0.808 0.300 0.108
Y 0.192 0.300 0.491
Y 0.808 0.700 0.509
Y 0.192 0.700 0.892
Sn 0.000 0.000 0.000
Rh 0.372 0.500 0.872
Rh 0.628 0.500 0.128
Rh 0.500 0.872 0.372
Rh 0.500 0.128 0.628
Rh 0.872 0.372 0.500
Rh 0.128 0.628 0.500
! **Crystal system**: cubic
! **VASP energy**: -137.7 eV/cell
! **Energy of formation**: -634 meV per atom



[13]
! CsRe3S, relaxed, DFT PBE; values from VASP
&SYSTEM
  ibrav = 0, nat = 5, ntyp = 3
/
ATOMIC_SPECIES
Cs 132.91 Cs.upf
Re 186.21 Re.upf
S 32.06 S.upf
CELL_PARAMETERS angstrom
4.972 0.000 0.000
0.000 4.972 0.000
0.000 0.000 4.972
ATOMIC_POSITIONS crystal
Cs 0.000 0.000 0.000
Re 0.000 0.500 0.000
Re 0.000 0.000 0.500
Re 0.500 0.000 0.000
S 0.500 0.500 0.500
! **Relative energy among the computed polymorphs**: 58.52 kcal/mol of atoms
! **Crystal system**: cubic
! **VASP energy**: -20.1 eV/cell
! **ΔE_f (raw)**: 22.19 eV per formula unit



[14]
! AlTcPb2, relaxed, DFT PBE; values from VASP
&SYSTEM
  ibrav = 0, nat = 4, ntyp = 3
/
ATOMIC_SPECIES
Pb 207.20 Pb.upf
Tc 98.00 Tc.upf
Al 26.98 Al.upf
CELL_PARAMETERS angstrom
4.702 0.112 0.290
3.469 3.176 0.290
1.779 0.716 7.022
ATOMIC_POSITIONS crystal
Pb 0.000 0.000 0.048
Pb 0.841 0.841 0.702
Tc 0.471 0.471 0.371
Al 0.188 0.188 0.379
! **Crystal system**: monoclinic
! **VASP energy**: -20.3 eV/cell
! **Energy of formation**: 311 meV per atom



[15]
! Dy3ZnHg2, relaxed, DFT PBE; values from VASP
&SYSTEM
  ibrav = 0, nat = 6, ntyp = 3
/
ATOMIC_SPECIES
Dy 162.50 Dy.upf
Zn 65.41 Zn.upf
Hg 200.59 Hg.upf
CELL_PARAMETERS angstrom
-1.630 3.221 0.489
-3.240 -1.545 -0.621
-1.046 -2.184 10.898
ATOMIC_POSITIONS crystal
Dy 0.000 0.000 0.000
Dy 0.000 0.000 0.654
Dy 0.000 0.000 0.346
Zn 0.500 0.500 0.500
Hg 0.500 0.500 0.826
Hg 0.500 0.500 0.174
! **Relative energy among the computed polymorphs**: 0.00 kcal/mol of atoms
! **Crystal system**: tetragonal
! **VASP energy**: -18.3 eV/cell
! **Energy of formation**: -433 meV per atom



[16]
! CaMo2Rh, relaxed, DFT PBE; values from VASP
&SYSTEM
  ibrav = 0, nat = 4, ntyp = 3
/
ATOMIC_SPECIES
Mo 95.94 Mo.upf
Rh 102.91 Rh.upf
Ca 40.08 Ca.upf
CELL_PARAMETERS angstrom
9.989 0.005 0.003
9.574 2.849 0.003
9.574 1.397 2.483
ATOMIC_POSITIONS crystal
Mo 0.991 0.991 0.991
Mo 0.509 0.509 0.509
Rh 0.250 0.250 0.250
Ca 0.750 0.750 0.750
! **Relative energy among the computed polymorphs**: 8.60 kcal/mol of atoms
! **Crystal system**: trigonal
! **VASP energy**: -28.7 eV/cell
! **Energy of formation**: 573 meV per atom



[17]
! Ta2RhCl, relaxed, DFT PBE; values from VASP
&SYSTEM
  ibrav = 0, nat = 4, ntyp = 3
/
ATOMIC_SPECIES
Cl 35.45 Cl.upf
Rh 102.91 Rh.upf
Ta 180.95 Ta.upf
CELL_PARAMETERS angstrom
-3.772 -0.016 -3.896
-5.119 -1.001 -1.481
-2.308 4.065 0.371
ATOMIC_POSITIONS crystal
Cl 0.512 0.512 0.531
Rh 0.277 0.277 0.156
Ta 0.995 0.995 0.116
Ta 0.717 0.717 0.697
! **Relative energy among the computed polymorphs**: 6.59 kcal/mol of atoms
! **Crystal system**: monoclinic
! **VASP energy**: -32.7 eV/cell
! **ΔE_f (raw)**: 0.25 eV per formula unit



[18]
! Er4Pa3N8, relaxed, DFT PBE; values from VASP
&SYSTEM
  ibrav = 0, nat = 15, ntyp = 3
/
ATOMIC_SPECIES
Er 167.26 Er.upf
Pa 231.04 Pa.upf
N 14.01 N.upf
CELL_PARAMETERS angstrom
6.841 -0.169 -0.243
-3.403 6.058 0.157
-3.403 -1.956 5.736
ATOMIC_POSITIONS crystal
Er 0.500 0.000 0.000
Er 0.000 0.500 0.000
Er 0.000 0.000 0.000
Er 0.000 0.000 0.500
Pa 0.500 0.500 0.000
Pa 0.500 0.000 0.500
Pa 0.500 0.500 0.500
N 0.482 0.240 0.240
N 0.000 0.761 0.239
N 0.034 0.253 0.253
N 0.500 0.753 0.247
N 0.500 0.247 0.753
N 0.966 0.747 0.747
N 0.000 0.239 0.761
N 0.518 0.760 0.760
! **Crystal system**: monoclinic
! **VASP energy**: -136.4 eV/cell
! **ΔE_f (raw)**: -23.03 eV per formula unit



[19]
! PmMn2S4, relaxed, DFT PBE; values from VASP
&SYSTEM
  ibrav = 0, nat = 14, ntyp = 3
/
ATOMIC_SPECIES
Pm 145.00 Pm.upf
Mn 54.94 Mn.upf
S 32.06 S.upf
CELL_PARAMETERS angstrom
-1.565 7.512 -0.079
-0.967 -3.964 6.491
6.751 -0.615 -1.682
ATOMIC_POSITIONS crystal
Pm 0.274 0.774 0.500
Pm 0.025 0.024 0.000
Mn 0.603 0.415 0.778
Mn 0.637 0.825 0.222
Mn 0.665 0.353 0.278
Mn 0.075 0.387 0.722
S 0.911 0.228 0.303
S 0.263 0.509 0.122
S 0.925 0.608 0.698
S 0.759 0.013 0.623
S 0.391 0.136 0.378
S 0.386 0.141 0.877
S 0.477 0.660 0.802
S 0.858 0.675 0.197
! **Crystal system**: monoclinic
! **VASP energy**: -93.7 eV/cell
! **ΔE_f (raw)**: -7.26 eV per formula unit



[20]
! VRe, relaxed, DFT PBE; values from VASP
&SYSTEM
  ibrav = 0, nat = 12, ntyp = 2
/
ATOMIC_SPECIES
V 50.94 V.upf
Re 186.21 Re.upf
CELL_PARAMETERS angstrom
-6.019 -2.366 1.986
-1.604 -1.325 -6.437
2.640 -6.198 0.618
ATOMIC_POSITIONS crystal
V 0.250 0.000 0.500
V 0.750 0.000 0.500
V 0.000 0.500 0.250
V 0.000 0.500 0.750
V 0.500 0.250 0.000
V 0.500 0.750 0.000
Re 0.250 0.500 0.000
Re 0.750 0.500 0.000
Re 0.500 0.000 0.250
Re 0.500 0.000 0.750
Re 0.000 0.250 0.500
Re 0.000 0.750 0.500
! **Crystal system**: cubic
! **VASP energy**: -103.9 eV/cell
! **Energy of formation**: 2124 meV per atom